First-principles (PBE-GGA) data for a geometry-optimized CoGeSb2Te structure, as listed in the Alexandria database.

Lattice parameters (Å, degrees): 4.7999 4.7999 5.4697 90.00 90.00 90.00
Last column: nearest neighbours and their distance in Å.
Positions (direct):
Co: 0.0000 0.0000 0.0000  4 Sb 2.40
Ge: 0.5000 0.5000 0.5000  4 Te 3.39, 8 Sb 3.64
Sb: 0.0000 0.5000 0.0000  2 Co 2.40
Sb: 0.5000 0.0000 0.0000  2 Co 2.40
Te: 0.0000 0.0000 0.5000  2 Co 2.73

Summary:
Volume   25.20 Å³ per atom
Formation energy from raw total energies   0.415 eV/atom
E above lowest polymorph   0.000 kcal/mol of atoms

First-principles (PBE-GGA) data for a geometry-optimized Ti3PdRh structure, as listed in the Alexandria database.

Lattice parameters (Å, degrees): 5.1066 5.1066 8.7027 90.00 90.00 131.26
Last column: nearest neighbours and their distance in Å.
Positions (direct):
Ti: 0.1057 0.8943 0.7500  2 Rh 2.39
Ti: 0.3467 0.6533 0.5387  2 Rh 2.57, 3 Pd 2.84, 2 Ti 2.85
Ti: 0.3467 0.6533 0.9613  2 Rh 2.57, 3 Pd 2.84, 2 Ti 2.85
Ti: 0.6533 0.3467 0.0387  2 Rh 2.57, 3 Pd 2.84, 2 Ti 2.85
Ti: 0.6533 0.3467 0.4613  2 Rh 2.57, 3 Pd 2.84, 2 Ti 2.85
Ti: 0.8943 0.1057 0.2500  2 Rh 2.39
Pd: 0.2035 0.7965 0.2500  9 Ti 2.75-2.88, 2 Rh 2.88
Pd: 0.7965 0.2035 0.7500  9 Ti 2.75-2.88, 2 Rh 2.88
Rh: 0.0000 0.0000 0.0000  6 Ti 2.39-2.57
Rh: 0.0000 0.0000 0.5000  6 Ti 2.39-2.57

Summary:
Volume   17.06 Å³ per atom
E above lowest polymorph   0.000 kcal/mol of atoms
Energy of formation from the pure elements   -0.365 eV per atom